Lu3Mg PBE-GGA relaxed; space group = Imm2, No. 44; formation enthalpy at 0 K = -0.001 eV per atom; total moment = 0.000 μB/atom; density of states at the Fermi level = 1.117 states/eV per atom
1.0
-1.874 5.557 2.659
1.874 -5.557 2.659
1.874 5.557 -2.659
Lu Mg
3 1
Cartesian
0.000 0.000 0.000 Lu
1.874 3.005 -0.007 Lu
0.000 2.551 2.652 Lu
0.000 5.557 0.001 Mg

Lu5Mg PBE-GGA relaxed; space group = Cmmm, No. 65; formation enthalpy at 0 K = 0.028 eV per atom; total moment = 0.000 μB/atom; density of states at the Fermi level = 1.520 states/eV per atom
1.0
2.418 -7.290 0.000
2.418 7.290 0.000
0.000 0.000 4.836
Lu Mg
5 1
Cartesian
0.000 0.000 0.000 Lu
2.418 4.875 2.418 Lu
2.418 2.462 0.000 Lu
2.418 -2.462 0.000 Lu
2.418 -4.875 2.418 Lu
2.418 0.000 2.418 Mg

- The highest formation enthalpy at 0 K belongs to which entry?
  Lu5Mg